Entry 1:
TaCoAu2 | PBEsol | relaxed

a b c (Å): 3.048 3.048 6.670
angles (deg): 90.00 90.00 90.00
Fractional coordinates of all 4 atoms:
Au1 0.000 0.000 0.995
Au2 0.500 0.500 0.277
Ta1 0.500 0.500 0.707
Co1 0.000 0.000 0.521

* relative energy among the computed polymorphs: 0.0 meV/atom
* calculated formation energy: -50 meV/atom

=====

Entry 2:
TaCoAu2 | PBEsol | relaxed

a b c (Å): 4.424 4.424 4.424
angles (deg): 60.00 60.00 60.00
Each line ends with the local moment (μB).
Fractional coordinates of all 4 atoms:
Ta1 0.250 0.250 0.250  -0.02
Au1 0.000 0.000 0.000  0.05
Au2 0.750 0.750 0.750  0.00
Co1 0.500 0.500 0.500  1.09

* relative energy among the computed polymorphs: 127.0 meV/atom
* calculated formation energy: 76 meV/atom

=====

Entry 3:
TaCoAu | PBEsol | relaxed

a b c (Å): 3.215 3.215 4.857
angles (deg): 109.33 109.33 90.00
Fractional coordinates of all 3 atoms:
Ta1 0.685 0.685 0.371
Au1 0.998 0.998 0.995
Co1 0.317 0.317 0.634

* relative energy among the computed polymorphs: 0.0 meV/atom
* calculated formation energy: -170 meV/atom

=====

> What is the relative energy among the computed polymorphs in the first record?

0.0 meV/atom

=====

> What is the calculated formation energy in the third record?

-170 meV/atom

=====

> Look up the calculated formation energy of the third one.

-170 meV/atom